Material: LiZnIn2Cl4
Method: DFT, PBE-GGA
State: relaxed

abc: 6.470 6.731 6.801
angles: 88.99 61.76 62.71
Positions (direct):
Li  0.000  0.000  0.000
Zn  0.509  0.242  0.751
In  0.103  0.622  0.436
In  0.603  0.679  0.380
Cl  0.177  0.207  0.747
Cl  0.379  0.613  0.896
Cl  0.660  0.002  0.956
Cl  0.879  0.140  0.382

- space-group type = No. 1
- E (eV for the cell shown) = -24.0
- mass density (g cm⁻³) = 3.29